Entry 1:
The following is a DFT calculation (PBE) of Ac2PrAs3 after structural relaxation.

Output
E_form = -1476 meV per atom
space-group type = No. 70

Cell lengths 7.7461, 7.7461, 14.1434 Å; angles 100.52, 100.52, 109.47 degrees
Fractional positions:
As (0.0089, 0.5089, 0.5000)
Ac (0.5004, 0.0004, 0.0009)
As (0.0847, 0.0765, 0.6699)
As (0.3265, 0.8347, 0.1699)
Ac (0.5830, 0.5830, 0.1660)
Pr (0.3335, 0.8335, 0.6670)
As (0.1653, 0.6735, 0.8301)
As (0.8435, 0.3352, 0.1699)
As (0.5852, 0.5935, 0.6699)
Pr (0.9165, 0.9165, 0.8330)
As (0.7589, 0.7589, 0.0000)
Ac (0.7496, 0.7496, 0.4991)
Ac (0.6670, 0.1670, 0.3340)
Ac (0.9996, 0.4996, 0.9991)
Ac (0.2504, 0.2504, 0.5009)
Ac (0.8330, 0.3330, 0.6660)
As (0.9235, 0.9153, 0.3301)
Pr (0.1665, 0.6665, 0.3330)
Ac (0.4170, 0.4170, 0.8340)
As (0.4065, 0.4148, 0.3301)
Pr (0.0835, 0.0835, 0.1670)
As (0.6648, 0.1565, 0.8301)
As (0.2411, 0.2411, 0.0000)
As (0.4911, 0.9911, 0.5000)



Entry 2:
The following is a DFT calculation (PBE) of AcPrAs2 after structural relaxation.

Output
E_form = -1095 meV per atom
space-group type = No. 225
relative energy among the computed polymorphs = 384 meV/atom

Cell lengths 5.3702, 5.3702, 5.3702 Å; angles 60.00, 60.00, 60.00 degrees
Fractional positions:
As (0.2500, 0.2500, 0.2500)
As (0.7500, 0.7500, 0.7500)
Pr (0.5000, 0.5000, 0.5000)
Ac (0.0000, 0.0000, 0.0000)



The size of the total moment results, record by record, are as follows: 0.00 0.00 μB per cell.